1.
K12InHg5 | Alexandria | GGA-PBE | optimized geometry; Fermi-level density of states = 0.563 states/eV per atom; DFT total energy = -19.9 eV/cell; energy of formation = -0.14 eV/atom
1.0
-5.735 5.740 6.387
5.735 -5.740 6.387
5.735 5.740 -6.387
K In Hg
12 1 5
Direct
0.037 0.831 0.206
0.244 0.550 0.307
0.244 0.937 0.693
0.279 0.313 0.592
0.279 0.687 0.966
0.375 0.169 0.206
0.625 0.831 0.794
0.721 0.313 0.034
0.721 0.687 0.408
0.756 0.063 0.307
0.756 0.450 0.693
0.963 0.169 0.794
0.500 0.000 0.500
0.000 0.142 0.142
0.000 0.500 0.500
0.000 0.858 0.858
0.380 0.380 0.000
0.620 0.620 0.000

***

2.
Hf4AlH | Alexandria | GGA-PBE | optimized geometry; Fermi-level density of states = 0.757 states/eV per atom; DFT total energy = -95.2 eV/cell
1.0
3.688 -6.819 0.000
3.688 6.819 0.000
-3.091 0.000 4.378
Hf Al H
8 2 2
Direct
0.073 0.640 0.857
0.157 0.283 0.606
0.283 0.157 0.106
0.360 0.927 0.643
0.640 0.073 0.357
0.717 0.843 0.894
0.843 0.717 0.394
0.927 0.360 0.143
0.397 0.603 0.250
0.603 0.397 0.750
0.029 0.971 0.250
0.971 0.029 0.750

***

3.
InRe2Ni | Alexandria | GGA-PBE | optimized geometry; Fermi-level density of states = 0.839 states/eV per atom; DFT total energy = -31.5 eV/cell; energy of formation = 0.47 eV/atom
1.0
2.794 0.000 0.000
0.000 3.886 0.000
0.000 0.000 5.853
In Re Ni
1 2 1
Direct
0.000 0.000 0.000
0.500 0.500 0.299
0.500 0.500 0.701
0.000 0.000 0.500